This record from Alexandria describes a relaxed structure of ZnGe2Cl8. The functional is GGA-PBE.

VASP energy (eV for the cell shown): -33.45
Formation energy (no corrections) (eV/atom): -0.7424
Magnetization (μB per cell): 0.0

a b c (Å): 7.9312 7.9312 6.1785
angles (deg): 96.79 96.79 83.31
Element x y z (fractional)
Zn 0.0000 0.0000 0.0000
Ge 0.2140 0.2140 0.6894
Ge 0.7860 0.7860 0.3106
Cl 0.0629 0.7417 0.1960
Cl 0.1767 0.1767 0.3005
Cl 0.2583 0.9371 0.8040
Cl 0.4002 0.4002 0.8763
Cl 0.5998 0.5998 0.1237
Cl 0.7417 0.0629 0.1960
Cl 0.8233 0.8233 0.6995
Cl 0.9371 0.2583 0.8040